No. 1
Computed, not measured: InP after structural relaxation at the PBE-GGA level of DFT.

Calculated values
Formation enthalpy at 0 K (kJ/mol of formula units): -30
SG: No. 136
Crystal system: tetragonal

POSCAR file:
```
InP
1.0
7.2632 0.0000 0.0000
0.0000 7.2632 0.0000
0.0000 0.0000 4.2104
In P
4 4
Direct
0.1781 0.1781 0.0000
0.3219 0.6781 0.5000
0.6781 0.3219 0.5000
0.8219 0.8219 0.0000
0.1806 0.8194 0.0000
0.3194 0.3194 0.5000
0.6806 0.6806 0.5000
0.8194 0.1806 0.0000
```



No. 2
Computed, not measured: BaSiSb2 after structural relaxation at the PBE-GGA level of DFT.

Calculated values
Density of states at the Fermi level (states/eV/atom): 0.424
Formation energy (no corrections) (kJ/mol of atoms): -26.0
SG: No. 6
Crystal system: monoclinic

POSCAR file:
```
BaSiSb2
1.0
5.3023 0.0000 0.0000
0.0000 4.1242 0.0000
-2.6314 0.0000 6.3560
Ba Si Sb
1 1 2
Direct
0.0000 0.0000 0.0000
0.5944 0.5000 0.1884
0.3951 0.5000 0.7894
0.7143 0.0000 0.4354
```



No. 3
Computed, not measured: BHOsN2 after structural relaxation at the PBE-GGA level of DFT.

Calculated values
Density of states at the Fermi level (states/eV/atom): 0.446
DFT total energy (Ry/atom): -0.41662
SG: No. 123
Crystal system: tetragonal

POSCAR file:
```
BHOsN2
1.0
3.7378 0.0000 0.0000
0.0000 3.7378 0.0000
0.0000 0.0000 2.6322
B H Os N
1 1 1 2
Direct
0.0000 0.0000 0.0000
0.0000 0.0000 0.5000
0.5000 0.5000 0.0000
0.0000 0.5000 0.5000
0.5000 0.0000 0.5000
```



No. 4
Computed, not measured: CdSbP after structural relaxation at the PBE-GGA level of DFT.

Calculated values
Density of states at the Fermi level (states/eV/atom): 0.250
Formation energy (no corrections) (kJ/mol of atoms): 7.8
Distance to the lowest polymorph of the same formula (meV per atom): 92.8
SG: No. 8
Crystal system: monoclinic

POSCAR file:
```
CdSbP
1.0
8.1212 0.0000 0.0000
0.0000 3.7821 0.0000
-0.2983 0.0000 4.9247
Cd Sb P
2 2 2
Direct
0.0000 0.0000 0.0000
0.5000 0.5000 0.0000
0.2226 0.5000 0.6174
0.7226 0.0000 0.6174
0.2817 0.0000 0.2765
0.7817 0.5000 0.2765
```



No. 5
Computed, not measured: Bi2AsAu after structural relaxation at the PBE-GGA level of DFT.

Calculated values
Density of states at the Fermi level (states/eV/atom): 0.497
Formation enthalpy at 0 K (kJ/mol of formula units): 1
SG: No. 166
Crystal system: trigonal

POSCAR file:
```
Bi2AsAu
1.0
4.1390 0.0000 0.0000
-2.0695 3.5845 0.0000
0.0000 0.0000 21.6156
Bi As Au
6 3 3
Direct
0.0000 0.0000 0.2489
0.0000 0.0000 0.7511
0.3333 0.6667 0.4177
0.3333 0.6667 0.9156
0.6667 0.3333 0.0844
0.6667 0.3333 0.5823
0.0000 0.0000 0.0000
0.3333 0.6667 0.6667
0.6667 0.3333 0.3333
0.0000 0.0000 0.5000
0.3333 0.6667 0.1667
0.6667 0.3333 0.8333
```



No. 6
Computed, not measured: CdSnCl2 after structural relaxation at the PBE-GGA level of DFT.

Calculated values
Density of states at the Fermi level (states/eV/atom): 0.000
Formation energy (no corrections) (kJ/mol of atoms): -45.7
Distance to the lowest polymorph of the same formula (meV per atom): 66.0
SG: No. 122
Crystal system: tetragonal

POSCAR file:
```
CdSnCl2
1.0
8.4003 0.0000 0.0000
0.0000 8.4003 0.0000
0.0000 0.0000 11.4681
Cd Sn Cl
4 4 8
Direct
0.0000 0.0000 0.0000
0.0000 0.5000 0.2500
0.5000 0.0000 0.7500
0.5000 0.5000 0.5000
0.0000 0.0000 0.5000
0.0000 0.5000 0.7500
0.5000 0.0000 0.2500
0.5000 0.5000 0.0000
0.1152 0.2500 0.6250
0.2500 0.6152 0.8750
0.2500 0.8848 0.3750
0.3848 0.2500 0.1250
0.6152 0.7500 0.1250
0.7500 0.1152 0.3750
0.7500 0.3848 0.8750
0.8848 0.7500 0.6250
```



No. 7
Computed, not measured: Li3HfI after structural relaxation at the PBE-GGA level of DFT.

Calculated values
Density of states at the Fermi level (states/eV/atom): 0.878
Formation energy (no corrections) (kJ/mol of atoms): 53.1
Distance to the lowest polymorph of the same formula (meV per atom): 0.0
SG: No. 221
Crystal system: cubic

POSCAR file:
```
Li3HfI
1.0
5.0287 0.0000 0.0000
0.0000 5.0287 0.0000
0.0000 0.0000 5.0287
Li Hf I
3 1 1
Direct
0.0000 0.0000 0.5000
0.0000 0.5000 0.0000
0.5000 0.0000 0.0000
0.5000 0.5000 0.5000
0.0000 0.0000 0.0000
```



No. 8
Computed, not measured: Rb3TlHg7 after structural relaxation at the PBE-GGA level of DFT.

Calculated values
Density of states at the Fermi level (states/eV/atom): 0.300
Formation enthalpy at 0 K (kJ/mol of formula units): -207
SG: No. 63
Crystal system: orthorhombic

POSCAR file:
```
Rb3TlHg7
1.0
2.3558 -11.8302 0.0000
2.3558 11.8302 0.0000
0.0000 0.0000 15.2610
Rb Tl Hg
6 2 14
Direct
0.1092 0.8908 0.5409
0.1092 0.8908 0.9591
0.2398 0.7602 0.2500
0.7602 0.2398 0.7500
0.8908 0.1092 0.0409
0.8908 0.1092 0.4591
0.0381 0.9619 0.2500
0.9619 0.0381 0.7500
0.2731 0.7269 0.5456
0.2731 0.7269 0.9544
0.3768 0.6232 0.6541
0.3768 0.6232 0.8459
0.4148 0.5852 0.2500
0.4974 0.5026 0.6017
0.4974 0.5026 0.8983
0.5026 0.4974 0.1017
0.5026 0.4974 0.3983
0.5852 0.4148 0.7500
0.6232 0.3768 0.1541
0.6232 0.3768 0.3459
0.7269 0.2731 0.0456
0.7269 0.2731 0.4544
```



No. 9
Computed, not measured: NaLa2HfNb after structural relaxation at the PBE-GGA level of DFT.

Calculated values
Density of states at the Fermi level (states/eV/atom): 1.223
Formation enthalpy at 0 K (kJ/mol of formula units): 408
SG: No. 123
Crystal system: tetragonal

POSCAR file:
```
NaLa2HfNb
1.0
5.9669 0.0000 0.0000
0.0000 5.9669 0.0000
0.0000 0.0000 5.0451
Na La Hf Nb
1 2 1 1
Direct
0.0000 0.0000 0.0000
0.0000 0.5000 0.5000
0.5000 0.0000 0.5000
0.5000 0.5000 0.5000
0.5000 0.5000 0.0000
```



No. 10
Computed, not measured: FeCl3 after structural relaxation at the PBE-GGA level of DFT.

Calculated values
Density of states at the Fermi level (states/eV/atom): 1.336
Formation energy (no corrections) (kJ/mol of atoms): 25.6
SG: No. 223
Crystal system: cubic

POSCAR file:
```
FeCl3
1.0
5.3453 0.0000 0.0000
0.0000 5.3453 0.0000
0.0000 0.0000 5.3453
Fe Cl
2 6
Direct
0.0000 0.0000 0.0000
0.5000 0.5000 0.5000
0.0000 0.2500 0.5000
0.0000 0.7500 0.5000
0.2500 0.5000 0.0000
0.5000 0.0000 0.2500
0.5000 0.0000 0.7500
0.7500 0.5000 0.0000
```



No. 11
Computed, not measured: TmAl12Pd6 after structural relaxation at the PBE-GGA level of DFT.

Calculated values
Density of states at the Fermi level (states/eV/atom): 0.228
Formation enthalpy at 0 K (kJ/mol of formula units): -1084
SG: No. 166
Crystal system: trigonal

POSCAR file:
```
TmAl12Pd6
1.0
5.6900 3.2851 2.8972
-5.6900 3.2851 2.8972
0.0000 -6.5702 2.8972
Tm Al Pd
1 12 6
Direct
0.0000 0.0000 0.0000
0.1149 0.5000 0.8851
0.1149 0.8851 0.5000
0.1462 0.3969 0.3969
0.3969 0.1462 0.3969
0.3969 0.3969 0.1462
0.5000 0.1149 0.8851
0.5000 0.8851 0.1149
0.6031 0.6031 0.8538
0.6031 0.8538 0.6031
0.8538 0.6031 0.6031
0.8851 0.1149 0.5000
0.8851 0.5000 0.1149
0.2799 0.2799 0.7074
0.2799 0.7074 0.2799
0.2926 0.7201 0.7201
0.7074 0.2799 0.2799
0.7201 0.2926 0.7201
0.7201 0.7201 0.2926
```



No. 12
Computed, not measured: LiZnP after structural relaxation at the PBE-GGA level of DFT.

Calculated values
Density of states at the Fermi level (states/eV/atom): 0.234
Formation enthalpy at 0 K (kJ/mol of formula units): 1
SG: No. 156
Crystal system: trigonal

POSCAR file:
```
LiZnP
1.0
2.8469 0.0000 0.0000
-1.4234 2.4655 0.0000
0.0000 0.0000 6.3418
Li Zn P
1 1 1
Direct
0.0000 0.0000 0.0000
0.3333 0.6667 0.6521
0.6667 0.3333 0.3091
```